# GGA-PBE HoThRePd, relaxed
data_HoThRePd
_space_group_name_H-M_alt 'F -4 3 m'
_space_group_IT_number 216
_space_group_name_Hall 'F -4 2 3'
_cell_length_a 7.052
_cell_length_b 7.052
_cell_length_c 7.052
_cell_angle_alpha 90.00
_cell_angle_beta 90.00
_cell_angle_gamma 90.00
loop_
_atom_site_label
_atom_site_fract_x
_atom_site_fract_y
_atom_site_fract_z
Ho1 0.000 0.000 0.000
Th1 0.000 0.000 0.500
Re1 0.250 0.250 0.250
Pd1 0.250 0.250 0.750
# spin magnetization: 0.000 μB/cell
# formation enthalpy at 0 K: -0.320 eV per atom

# GGA-PBE HoZrRePd, relaxed
data_HoZrRePd
_space_group_name_H-M_alt 'F -4 3 m'
_space_group_IT_number 216
_space_group_name_Hall 'F -4 2 3'
_cell_length_a 6.757
_cell_length_b 6.757
_cell_length_c 6.757
_cell_angle_alpha 90.00
_cell_angle_beta 90.00
_cell_angle_gamma 90.00
loop_
_atom_site_label
_atom_site_fract_x
_atom_site_fract_y
_atom_site_fract_z
Ho1 0.000 0.000 0.000
Zr1 0.000 0.000 0.500
Re1 0.250 0.250 0.750
Pd1 0.250 0.250 0.250
# spin magnetization: 0.000 μB/cell
# formation enthalpy at 0 K: -0.361 eV per atom

# GGA-PBE Ho6Pd2Rh, relaxed
data_Ho6Pd2Rh
_space_group_name_H-M_alt 'I m m m'
_space_group_IT_number 71
_space_group_name_Hall '-I 2 2'
_cell_length_a 9.470
_cell_length_b 9.624
_cell_length_c 9.689
_cell_angle_alpha 90.00
_cell_angle_beta 90.00
_cell_angle_gamma 90.00
loop_
_atom_site_label
_atom_site_fract_x
_atom_site_fract_y
_atom_site_fract_z
Ho1 0.000 0.170 0.205
Ho2 0.173 0.500 0.242
Ho3 0.186 0.239 0.500
Pd1 0.000 0.366 0.000
Pd2 0.158 0.000 0.000
Rh1 0.000 0.000 0.500
Rh2 0.000 0.500 0.500
# spin magnetization: 0.000 μB/cell
# formation enthalpy at 0 K: -0.602 eV per atom
# excess energy over the best structure of this formula in the dataset: 0.000 eV/atom

# GGA-PBE Ho3Pd2Rh, relaxed
data_Ho3Pd2Rh
_space_group_name_H-M_alt 'C m m m'
_space_group_IT_number 65
_space_group_name_Hall '-C 2 2'
_cell_length_a 4.911
_cell_length_b 14.722
_cell_length_c 6.898
_cell_angle_alpha 90.00
_cell_angle_beta 90.00
_cell_angle_gamma 90.00
loop_
_atom_site_label
_atom_site_fract_x
_atom_site_fract_y
_atom_site_fract_z
Ho1 0.000 0.000 0.246
Ho2 0.000 0.331 0.244
Pd1 0.000 0.166 0.500
Pd2 0.000 0.500 0.000
Pd3 0.000 0.500 0.500
Rh1 0.000 0.166 0.000
# spin magnetization: 0.000 μB/cell
# formation enthalpy at 0 K: -0.915 eV per atom

# GGA-PBE Ho6Pd2Rh, relaxed
data_Ho6Pd2Rh
_space_group_name_H-M_alt 'P 1 21/c 1'
_space_group_IT_number 14
_space_group_name_Hall '-P 2ybc'
_cell_length_a 6.486
_cell_length_b 7.311
_cell_length_c 11.777
_cell_angle_alpha 90.00
_cell_angle_beta 122.24
_cell_angle_gamma 90.00
loop_
_atom_site_label
_atom_site_fract_x
_atom_site_fract_y
_atom_site_fract_z
Ho1 0.091 0.184 0.432
Ho2 0.259 0.674 0.432
Ho3 0.398 0.040 0.246
Pd1 0.182 0.116 0.741
Rh1 0.500 0.000 0.500
# spin magnetization: 0.000 μB/cell
# formation enthalpy at 0 K: -0.599 eV per atom
# excess energy over the best structure of this formula in the dataset: 0.003 eV/atom

# GGA-PBE Ho5PdRh2, relaxed
data_Ho5PdRh2
_space_group_name_H-M_alt 'I 4/m c m'
_space_group_IT_number 140
_space_group_name_Hall '-I 4 2c'
_cell_length_a 7.523
_cell_length_b 7.523
_cell_length_c 13.388
_cell_angle_alpha 90.00
_cell_angle_beta 90.00
_cell_angle_gamma 90.00
loop_
_atom_site_label
_atom_site_fract_x
_atom_site_fract_y
_atom_site_fract_z
Ho1 0.000 0.000 0.000
Ho2 0.164 0.336 0.140
Pd1 0.000 0.000 0.250
Rh1 0.137 0.363 0.500
# spin magnetization: 0.000 μB/cell
# formation enthalpy at 0 K: -0.734 eV per atom

# GGA-PBE HoPdRh4, relaxed
data_HoPdRh4
_space_group_name_H-M_alt 'F -4 3 m'
_space_group_IT_number 216
_space_group_name_Hall 'F -4 2 3'
_cell_length_a 7.374
_cell_length_b 7.374
_cell_length_c 7.374
_cell_angle_alpha 90.00
_cell_angle_beta 90.00
_cell_angle_gamma 90.00
loop_
_atom_site_label
_atom_site_fract_x
_atom_site_fract_y
_atom_site_fract_z
Ho1 0.000 0.000 0.000
Pd1 0.250 0.250 0.750
Rh1 0.125 0.125 0.375
# spin magnetization: 4.833 μB/cell
# formation enthalpy at 0 K: -0.301 eV per atom

# GGA-PBE Ho3PdRh8, relaxed
data_Ho3PdRh8
_space_group_name_H-M_alt 'R 3 m'
_space_group_IT_number 160
_space_group_name_Hall 'R 3 -2"'
_cell_length_a 5.2706
_cell_length_b 5.2706
_cell_length_c 25.8911
_cell_angle_alpha 90.00
_cell_angle_beta 90.00
_cell_angle_gamma 120.00
loop_
_atom_site_label
_atom_site_fract_x
_atom_site_fract_y
_atom_site_fract_z
Ho1 0.0000 0.0000 0.0000
Ho2 0.0000 0.0000 0.1310
Ho3 0.0000 0.0000 0.6139
Pd1 0.0000 0.0000 0.4931
Rh1 0.0000 0.0000 0.3119
Rh2 0.0000 0.0000 0.8122
Rh3 0.0000 0.5000 0.0623
Rh4 0.0013 0.5007 0.5618
# spin magnetization: 0.001 μB/cell
# formation enthalpy at 0 K: -0.568 eV per atom

The density of states at the Fermi level results, record by record, are as follows: 2.70 1.46 8.14 2.33 7.39 7.55 12.16 14.60 states/eV/f.u..